Density functional theory data (PBE) for an optimized crystal structure of TaCdH.

## Properties
Theoretical density = 11.48 Mg/m³
Raw total energy = -0.194 Ha/atom
Energy relative to the lowest polymorph listed for this composition = 0.12 eV per formula unit

a b c (Å): 11.5304 3.1296 5.3063
angles (deg): 90.00 117.16 90.00
Last column: nearest neighbours and their distance in Å.
Space group Cm (No. 8)
Inequivalent atoms, fractional coordinates:
Ta: 0.0000 0.0000 0.0000 [2 per cell]  3 H 1.90-1.96
Ta: 0.0036 0.5000 0.5485 [2 per cell]  3 H 1.91-1.92
Cd: 0.2442 0.5000 0.0978 [2 per cell]  1 H 2.18
Cd: 0.2531 0.0000 0.6111 [2 per cell]  3 H 2.86-3.04, 5 Ta 3.05-3.16, 6 Cd 3.06-3.13
H: 0.0373 0.5000 0.2253 [2 per cell]  3 Ta 1.90-1.92, 2 H 1.99
H: 0.4568 0.5000 0.3166 [2 per cell]  3 Ta 1.91-1.96, 2 H 1.99